[1]
4
Lattice="0.0000 3.5115 3.5115 3.5115 0.0000 3.5115 3.5115 3.5115 0.0000" Properties=species:S:1:pos:R:3 comment="GGA-PBE CaGdCuPt, relaxed" formation_enthalpy_0k_ev_per_atom=-0.6159 spacegroup="F-43m (216)" pbc="T T T"
Ca 0.0000 0.0000 0.0000
Gd 3.5115 3.5115 3.5115
Cu 5.2673 5.2673 5.2673
Pt 1.7558 1.7558 1.7558

[2]
4
Lattice="0.0000 3.5093 3.5093 3.5093 0.0000 3.5093 3.5093 3.5093 0.0000" Properties=species:S:1:pos:R:3 comment="GGA-PBE CaDyGaNi, relaxed" formation_enthalpy_0k_ev_per_atom=-0.3106 spacegroup="F-43m (216)" pbc="T T T"
Ca 0.0000 0.0000 0.0000
Dy 3.5093 3.5093 3.5093
Ga 5.2640 5.2640 5.2640
Ni 1.7547 1.7547 1.7547

Number 1: electronic total energy -7.17 eV per atom. Number 2: electronic total energy -4.16 eV per atom.